[1]
Material: Y3ZrTl4S8
Method: DFT, PBE
State: relaxed

The calculation puts the total magnetic moment at 0.0 μB/f.u. The uncorrected formation energy is -21.93 eV per formula unit.

The space group is R-3m (No. 166, hexagonal axes) and the conventional cell measures 7.8737, 7.8737 and 23.1742 Å, with angles of 90.00, 90.00 and 120.00 degrees. The asymmetric unit holds Y at (0.0000, 0.5000, 0.0000), Zr at (0.0000, 0.0000, 0.0000), Tl at (0.0000, 0.0000, 0.5000), Tl at (0.0000, 0.5000, 0.5000), S at (0.0000, 0.0000, 0.2673) and S at (0.0155, 0.5078, 0.7308).



[2]
Material: SmTlHgPb
Method: DFT, PBE
State: relaxed

The calculation puts the total magnetic moment at 0.0 μB/f.u. The calculation puts the total energy at -47.85 eV/cell.

The space group is F-43m (No. 216) and the conventional cell measures 7.692, 7.692 and 7.692 Å, with angles of 90.00, 90.00 and 90.00 degrees. The asymmetric unit holds Sm at (0.000, 0.000, 0.000), Tl at (0.250, 0.250, 0.250), Hg at (0.250, 0.250, 0.750) and Pb at (0.000, 0.000, 0.500).



[3]
Material: Cu3Pt2
Method: DFT, PBE
State: relaxed

The calculation puts the total magnetic moment at 0.0 μB/f.u. The calculation puts the total energy at -50.01 eV/cell.

The space group is P2/m (No. 10) and the conventional cell measures 6.556, 2.731 and 7.893 Å, with angles of 90.00, 105.41 and 90.00 degrees. The asymmetric unit holds Cu at (0.099, 0.000, 0.307), Cu at (0.193, 0.500, 0.591), Cu at (0.396, 0.500, 0.202), Pt at (0.000, 0.500, 0.000), Pt at (0.300, 0.000, 0.888) and Pt at (0.500, 0.000, 0.500).



[4]
Material: PrAg4Hg
Method: DFT, PBE
State: relaxed

The calculation puts the total magnetic moment at 0.0 μB/f.u. The calculation puts the total energy at -70.61 eV/cell.

The space group is F-43m (No. 216) and the conventional cell measures 7.992, 7.992 and 7.992 Å, with angles of 90.00, 90.00 and 90.00 degrees. The asymmetric unit holds Pr at (0.000, 0.000, 0.000), Ag at (0.124, 0.124, 0.376) and Hg at (0.250, 0.250, 0.750).



[5]
Material: V2Mo5
Method: DFT, PBE
State: relaxed

The calculation puts the total magnetic moment at 0.0 μB/f.u. The calculation puts the total energy at -146.48 eV/cell.

The space group is C2/m (No. 12) and the conventional cell measures 9.858, 3.117 and 6.957 Å, with angles of 90.00, 97.99 and 90.00 degrees. The asymmetric unit holds V at (0.071, 0.000, 0.213), Mo at (0.000, 0.500, 0.500), Mo at (0.142, 0.500, 0.930) and Mo at (0.215, 0.000, 0.644).



[6]
Material: Dy6Ho3ThSc2
Method: DFT, PBE
State: relaxed

The calculation puts the total magnetic moment at 0.0 μB/f.u. The calculation puts the total energy at -121.91 eV/cell.

The space group is C2/m (No. 12) and the conventional cell measures 6.041, 10.461 and 11.642 Å, with angles of 90.00, 99.96 and 90.00 degrees. The asymmetric unit holds Dy at (0.249, 0.166, 0.246), Dy at (0.250, 0.000, 0.754), Ho at (0.000, 0.167, 0.500), Ho at (0.000, 0.500, 0.500), Th at (0.000, 0.000, 0.000) and Sc at (0.000, 0.333, 0.000).



[7]
Material: CrCu2Rh
Method: DFT, PBE
State: relaxed

The calculation puts the total magnetic moment at 0.0 μB/f.u. The calculation puts the total energy at -24.79 eV/cell.

The space group is P4mm (No. 99) and the conventional cell measures 2.672, 2.672 and 7.063 Å, with angles of 90.00, 90.00 and 90.00 degrees. The asymmetric unit holds Cr at (0.000, 0.000, 0.000), Cu at (0.000, 0.000, 0.492), Cu at (0.500, 0.500, 0.254) and Rh at (0.500, 0.500, 0.763).



[8]
Material: K2LaBr
Method: DFT, PBE
State: relaxed

The calculation puts the total magnetic moment at 0.0 μB/f.u. The uncorrected formation energy is -1.96 eV per formula unit.

The space group is Amm2 (No. 38) and the conventional cell measures 3.851, 3.940 and 24.167 Å, with angles of 90.00, 90.00 and 90.00 degrees. The asymmetric unit holds K at (0.000, 0.000, 0.000), K at (0.500, 0.000, 0.331), La at (0.000, 0.000, 0.683) and Br at (0.500, 0.000, 0.582).